This record from the Alexandria database describes crystalline MgTe2W at its relaxed geometry. The functional is PBEsol.

Structure (POSCAR):
```
MgTe2W
1.0
4.188 0.000 0.000
0.000 4.188 0.000
0.000 0.000 9.588
Mg Te W
2 4 2
Cartesian
0.000 0.000 0.000 Mg
2.094 2.094 4.794 Mg
0.000 0.000 4.794 Te
0.000 2.094 2.397 Te
2.094 0.000 7.191 Te
2.094 2.094 0.000 Te
0.000 2.094 7.191 W
2.094 0.000 2.397 W
```

Computed properties:
Symmetry: I-4m2 (119)
Raw formation energy in eV/atom: 0.6849
Total magnetization in μB/f.u.: 1.53

This record from the Alexandria database describes crystalline CrAuSeN2 at its relaxed geometry. The functional is PBEsol.

Structure (POSCAR):
```
CrAuSeN2
1.0
3.729 0.000 0.000
0.000 3.729 0.000
0.000 0.000 7.127
Cr Au Se N
1 1 1 2
Cartesian
0.000 0.000 0.000 Cr
1.864 1.864 3.563 Au
1.864 1.864 0.000 Se
0.000 1.864 3.563 N
1.864 0.000 3.563 N
```

Computed properties:
Symmetry: P4/mmm (123)
Raw formation energy in eV/atom: 1.6152
Total magnetization in μB/f.u.: 3.79

This record from the Alexandria database describes crystalline Tc2As3 at its relaxed geometry. The functional is PBEsol.

Structure (POSCAR):
```
Tc2As3
1.0
6.552 0.000 0.000
-1.644 6.398 0.000
-1.596 -1.267 7.697
Tc As
8 12
Cartesian
-0.974 1.877 2.808 Tc
-0.640 -0.647 6.679 Tc
0.674 3.193 4.809 Tc
0.971 5.749 1.088 Tc
2.340 -0.618 6.609 Tc
2.638 1.938 2.888 Tc
3.952 5.778 1.019 Tc
4.286 3.254 4.889 Tc
-2.403 3.277 7.414 As
-0.813 1.331 5.239 As
0.841 0.149 2.669 As
-0.785 5.196 4.727 As
0.819 3.642 2.411 As
2.473 1.935 0.389 As
0.838 3.196 7.308 As
2.493 1.489 5.286 As
4.097 -0.065 2.971 As
2.471 4.982 5.029 As
4.125 3.800 2.458 As
5.715 1.854 0.283 As
```

Computed properties:
Symmetry: P-1 (2)
Formation enthalpy at 0 K in kJ/mol of formula units: -151.5
Total magnetization in μB/f.u.: 0.00

This record from the Alexandria database describes crystalline ScTaSeN2 at its relaxed geometry. The functional is PBEsol.

Structure (POSCAR):
```
ScTaSeN2
1.0
3.966 0.000 0.000
0.000 3.966 0.000
0.000 0.000 4.981
Sc Ta Se N
1 1 1 2
Cartesian
0.000 0.000 0.000 Sc
1.983 1.983 2.491 Ta
0.000 0.000 2.491 Se
0.000 1.983 0.000 N
1.983 0.000 0.000 N
```

Computed properties:
Symmetry: P4/mmm (123)
Raw formation energy in eV/atom: 0.7296
Total magnetization in μB/f.u.: 0.07